(1)
First-principles (PBE) data for crystalline AsPRu2 at its relaxed geometry, as listed in Alexandria via LeMat-Bulk.

Cell lengths 5.162, 5.162, 5.162 Å; angles 139.68, 139.68, 58.33 degrees
Fractional positions:
As 0.500 0.500 0.000
P 0.750 0.250 0.500
Ru 0.000 0.000 0.000
Ru 0.250 0.750 0.500

Results
Total DFT energy (no corrections): -28.0 eV per formula unit
Symmetry: I-4m2
Total magnetization: 0.00 Bohr magnetons per cell
Formation energy: 0.6 eV/f.u.
Offset from the most stable computed form: 444 meV/atom

***

(2)
First-principles (PBE) data for crystalline SrLaGe at its relaxed geometry, as listed in Alexandria via LeMat-Bulk.

Cell lengths 4.537, 6.429, 7.866 Å; angles 76.78, 73.23, 69.33 degrees
Last column: magnetic moment on the atom in μB.
Fractional positions:
Sr 0.886 0.442 0.664  0.04
Sr 0.250 0.899 0.478  0.04
La 0.660 0.371 0.188  0.23
La 0.476 0.971 0.954  0.23
Ge 0.950 0.754 0.223  -0.01
Ge 0.186 0.587 0.918  -0.01

Results
Total DFT energy (no corrections): -12.6 eV per formula unit
Symmetry: C2/m
Total magnetization: 1.64 Bohr magnetons per cell
Formation energy: -1.4 eV/f.u.

***

(3)
First-principles (PBE) data for crystalline BaMn3Br9 at its relaxed geometry, as listed in Alexandria via LeMat-Bulk.

Cell lengths 10.439, 11.065, 11.536 Å; angles 75.24, 63.10, 61.85 degrees
Last column: magnetic moment on the atom in μB.
Fractional positions:
Ba 0.129 0.441 0.951  0.01
Ba 0.479 0.941 0.451  0.01
Mn 0.823 0.530 0.675  4.21
Mn 0.971 0.030 0.175  4.21
Mn 0.007 0.954 0.811  4.17
Mn 0.228 0.454 0.311  4.17
Mn 0.627 0.260 0.731  3.99
Mn 0.382 0.760 0.231  3.99
Br 0.356 0.212 0.268  0.05
Br 0.164 0.712 0.768  0.05
Br 0.482 0.406 0.911  0.05
Br 0.202 0.906 0.411  0.05
Br 0.171 0.082 0.711  0.05
Br 0.036 0.582 0.211  0.05
Br 0.630 0.751 0.204  0.03
Br 0.416 0.251 0.704  0.03
Br 0.791 0.987 0.391  0.04
Br 0.831 0.487 0.891  0.04
Br 0.594 0.743 0.678  0.05
Br 0.985 0.243 0.178  0.05
Br 0.461 0.511 0.233  0.03
Br 0.794 0.011 0.733  0.03
Br 0.821 0.353 0.573  0.05
Br 0.253 0.853 0.073  0.05
Br 0.838 0.027 0.040  0.06
Br 0.094 0.527 0.540  0.06

Results
Total DFT energy (no corrections): -57.6 eV per formula unit
Symmetry: Cc
Formation energy without anion corrections: -1.0111 eV per atom
Total magnetization: 28.00 Bohr magnetons per cell